This record from Alexandria via LeMat-Bulk describes MgPbBr2 at its PBEsol-relaxed geometry. The functional is SCAN.

## Properties
- Distance to the lowest polymorph of the same formula: 0.298 eV per atom
- Formation energy from raw total energies: -1.40 eV/f.u.

Lattice parameters (Å, degrees): 5.0074 5.0074 4.2414 90.00 90.00 90.00
Atoms (fractional coordinates):
Mg1 0.0000 0.0000 0.0000
Pb1 0.5000 0.5000 0.0000
Br1 0.0000 0.5000 0.5000
Br2 0.5000 0.0000 0.5000